No. 1
DFT (PBE) results for crystalline MgReW2 at its relaxed geometry.

Calculated values
As for the density: 15.0 Mg/m³. Its space group is Pm. Its total energy is -0.7157 Ry per atom.

a = 4.4733 Å, b = 2.7048 Å, c = 5.3725 Å
α = 80.01°, β = 90.00°, γ = 90.00°
Positions (direct):
Re 0.5000 0.7803 0.7472
Mg 0.0000 0.5123 0.5010
W 0.5000 0.2171 0.2554
W 0.0000 0.9903 0.9964

No. 2
DFT (PBE) results for crystalline MgRe2W2 at its relaxed geometry.

Calculated values
As for the density: 14.7 Mg/m³. Its space group is P4/mbm. Its total energy is -0.7442 Ry per atom. Its energy above the lowest structure with this stoichiometry is 0.000 eV/atom.

a = 7.7760 Å, b = 7.7760 Å, c = 2.8636 Å
α = 90.00°, β = 90.00°, γ = 90.00°
Positions (direct):
Mg 0.0000 0.0000 0.0000
W 0.8562 0.6438 0.0000
Re 0.1499 0.6499 0.5000
Mg 0.5000 0.5000 0.0000
Re 0.6499 0.8501 0.5000
W 0.6438 0.1438 0.0000
W 0.3562 0.8562 0.0000
W 0.1438 0.3562 0.0000
Re 0.3501 0.1499 0.5000
Re 0.8501 0.3501 0.5000

No. 3
DFT (PBE) results for crystalline MgReW at its relaxed geometry.

Calculated values
As for the density: 13.1 Mg/m³. Its space group is I4mm. Its total energy is -0.6430 Ry per atom. Its energy above the lowest structure with this stoichiometry is 0.068 eV/atom.

a = 5.3521 Å, b = 5.3521 Å, c = 5.3521 Å
α = 145.04°, β = 145.04°, γ = 50.27°
Positions (direct):
Re 0.3164 0.3164 0.0000
W 0.6861 0.6861 0.0000
Mg 0.9975 0.9975 0.0000

No. 4
DFT (PBE) results for crystalline MgReW2 at its relaxed geometry.

Calculated values
As for the density: 14.9 Mg/m³. Its space group is Imm2. Its total energy is -0.7127 Ry per atom.

a = 5.2956 Å, b = 5.2956 Å, c = 5.2956 Å
α = 145.60°, β = 129.09°, γ = 62.90°
Positions (direct):
W 0.7637 0.2637 0.5000
W 0.0032 0.0032 0.0000
Mg 0.4964 0.4964 0.0000
Re 0.2367 0.7367 0.5000

No. 5
DFT (PBE) results for crystalline MgReW2 at its relaxed geometry.

Calculated values
As for the density: 14.6 Mg/m³. Its space group is Cmmm. Its total energy is -0.7136 Ry per atom.

a = 2.7443 Å, b = 2.7443 Å, c = 9.2337 Å
α = 90.00°, β = 90.00°, γ = 109.43°
Positions (direct):
W 0.0000 0.0000 0.5126
Re 0.5000 0.5000 0.7500
Mg 0.5000 0.5000 0.2500
W 0.0000 0.0000 0.9874

No. 6
DFT (PBE) results for crystalline Mg3ReW at its relaxed geometry.

Calculated values
As for the density: 6.1 Mg/m³. Its space group is Pm-3m. Its total energy is -0.3043 Ry per atom. Its energy above the lowest structure with this stoichiometry is 0.000 eV/atom.

a = 4.9452 Å, b = 4.9452 Å, c = 4.9452 Å
α = 90.00°, β = 90.00°, γ = 90.00°
Positions (direct):
W 0.5000 0.5000 0.5000
Mg 0.0000 0.0000 0.5000
Mg 0.5000 0.0000 0.0000
Re 0.0000 0.0000 0.0000
Mg 0.0000 0.5000 0.0000

No. 7
DFT (PBE) results for crystalline MgReW2 at its relaxed geometry.

Calculated values
As for the density: 15.0 Mg/m³. Its space group is F-43m. Its total energy is -0.7067 Ry per atom.

a = 4.4857 Å, b = 4.4857 Å, c = 4.4857 Å
α = 60.00°, β = 60.00°, γ = 60.00°
Positions (direct):
W 0.7500 0.7500 0.7500
Re 0.2500 0.2500 0.2500
W 0.0000 0.0000 0.0000
Mg 0.5000 0.5000 0.5000

No. 8
DFT (PBE) results for crystalline MgReW2 at its relaxed geometry.

Calculated values
As for the density: 15.0 Mg/m³. Its space group is I4/mmm. Its total energy is -0.6991 Ry per atom.

a = 4.9637 Å, b = 4.9637 Å, c = 4.9637 Å
α = 133.08°, β = 133.08°, γ = 68.53°
Positions (direct):
Mg 0.2500 0.7500 0.5000
W 0.0000 0.0000 0.0000
W 0.5000 0.5000 0.0000
Re 0.7500 0.2500 0.5000